Cr2InSi: relaxed, PBE.

The structure belongs to space group R3m (No. 160, hexagonal axes); the cell edges are 2.9099, 2.9099 and 24.9030 Å and the angles 90.00°, 90.00° and 120.00°. The asymmetric unit holds Cr at (0.0000, 0.0000, 0.0000), Cr at (0.0000, 0.0000, 0.2686), In at (0.0000, 0.0000, 0.7599) and Si at (0.0000, 0.0000, 0.5271).

The value obtained for the volume is 60.9 Å³/f.u. Its calculated total energy is -6.5245 eV per atom. The calculation puts the formation energy without anion corrections at 1.310 eV/f.u.



CrInSi2: relaxed, PBE.

The structure belongs to space group F-43m (No. 216); the cell edges are 6.548, 6.548 and 6.548 Å and the angles 90.00°, 90.00° and 90.00°. The asymmetric unit holds Cr at (0.000, 0.000, 0.000), In at (0.250, 0.250, 0.750), Si at (0.000, 0.000, 0.500) and Si at (0.250, 0.250, 0.250).

The value obtained for the volume is 70.2 Å³/f.u. Its calculated total energy is -5.1978 eV per atom. The value obtained for the distance to the lowest polymorph of the same formula is 471 meV/atom. The calculation puts the formation energy without anion corrections at 2.417 eV/f.u.



Repeat the first record exactly.
Cr2InSi: relaxed, PBE.

The structure belongs to space group R3m (No. 160, hexagonal axes); the cell edges are 2.9099, 2.9099 and 24.9030 Å and the angles 90.00°, 90.00° and 120.00°. The asymmetric unit holds Cr at (0.0000, 0.0000, 0.0000), Cr at (0.0000, 0.0000, 0.2686), In at (0.0000, 0.0000, 0.7599) and Si at (0.0000, 0.0000, 0.5271).

The value obtained for the volume is 60.9 Å³/f.u. Its calculated total energy is -6.5245 eV per atom. The calculation puts the formation energy without anion corrections at 1.310 eV/f.u.



> What is the formation energy without anion corrections in the first record?

1.310 eV/f.u.



> Among the records above, which one has the highest volume?

CrInSi2